[1]
A geometry-optimized Sr3Al2Ag3 structure, computed with PBE.

Summary:
The value obtained for the formation energy is -2.22 eV per formula unit. The crystal system is orthorhombic. The calculated density is 4.79 g/cm³.

```
data_Sr3Al2Ag3
_space_group_name_H-M_alt 'P 1'
_space_group_IT_number 1
_cell_length_a 8.535
_cell_length_b 16.089
_cell_length_c 6.472
_cell_angle_alpha 90.00
_cell_angle_beta 90.00
_cell_angle_gamma 90.00
loop_
_space_group_symop_operation_xyz
'x,y,z'
loop_
_atom_site_label
_atom_site_fract_x
_atom_site_fract_y
_atom_site_fract_z
Sr1 0.028 0.105 0.138
Sr2 0.028 0.395 0.138
Sr3 0.167 0.250 0.620
Sr4 0.333 0.750 0.120
Sr5 0.472 0.605 0.638
Sr6 0.472 0.895 0.638
Sr7 0.528 0.105 0.362
Sr8 0.528 0.395 0.362
Sr9 0.667 0.250 0.880
Sr10 0.833 0.750 0.380
Sr11 0.972 0.605 0.862
Sr12 0.972 0.895 0.862
Al1 0.126 0.598 0.372
Al2 0.126 0.902 0.372
Al3 0.374 0.098 0.872
Al4 0.374 0.402 0.872
Al5 0.626 0.598 0.128
Al6 0.626 0.902 0.128
Al7 0.874 0.098 0.628
Al8 0.874 0.402 0.628
Ag1 0.169 0.039 0.608
Ag2 0.169 0.461 0.608
Ag3 0.180 0.750 0.579
Ag4 0.320 0.250 0.079
Ag5 0.331 0.539 0.108
Ag6 0.331 0.961 0.108
Ag7 0.669 0.039 0.892
Ag8 0.669 0.461 0.892
Ag9 0.680 0.750 0.921
Ag10 0.820 0.250 0.421
Ag11 0.831 0.539 0.392
Ag12 0.831 0.961 0.392
```

***

[2]
A geometry-optimized Sr2AlAg2 structure, computed with PBE.

Summary:
The value obtained for the formation energy is 0.30 eV per formula unit. The crystal system is tetragonal. The calculated density is 4.50 g/cm³.

```
data_Sr2AlAg2
_space_group_name_H-M_alt 'P 1'
_space_group_IT_number 1
_cell_length_a 8.995
_cell_length_b 8.995
_cell_length_c 3.816
_cell_angle_alpha 90.00
_cell_angle_beta 90.00
_cell_angle_gamma 90.00
loop_
_space_group_symop_operation_xyz
'x,y,z'
loop_
_atom_site_label
_atom_site_fract_x
_atom_site_fract_y
_atom_site_fract_z
Sr1 0.174 0.326 0.000
Sr2 0.326 0.826 0.000
Sr3 0.674 0.174 0.000
Sr4 0.826 0.674 0.000
Al1 0.000 0.000 0.000
Al2 0.500 0.500 0.000
Ag1 0.116 0.616 0.500
Ag2 0.384 0.116 0.500
Ag3 0.616 0.884 0.500
Ag4 0.884 0.384 0.500
```

***

[3]
A geometry-optimized SrAlAg structure, computed with PBE.

Summary:
The value obtained for the formation energy is -0.37 eV per formula unit. The crystal system is tetragonal. The calculated density is 4.86 g/cm³.

```
data_SrAlAg
_space_group_name_H-M_alt 'P 1'
_space_group_IT_number 1
_cell_length_a 6.286
_cell_length_b 6.286
_cell_length_c 6.286
_cell_angle_alpha 146.32
_cell_angle_beta 146.32
_cell_angle_gamma 48.37
loop_
_space_group_symop_operation_xyz
'x,y,z'
loop_
_atom_site_label
_atom_site_fract_x
_atom_site_fract_y
_atom_site_fract_z
Sr1 0.000 0.000 0.000
Al1 0.703 0.703 0.000
Ag1 0.293 0.293 0.000
```